Arrangement one

Entry from Alexandria via LeMat-Bulk: crystalline TiTlCo2 at its relaxed geometry (GGA-PBE).

Total moment = 0.0 Bohr magnetons per cell

abc: 5.529 5.529 5.529
angles: 104.82 104.82 119.24
Fractional coordinates of all 8 atoms:
Ti 0.000 0.000 0.000
Ti 0.750 0.250 0.500
Tl 0.250 0.750 0.500
Tl 0.500 0.500 0.000
Co 0.083 0.625 0.958
Co 0.375 0.333 0.458
Co 0.667 0.125 0.042
Co 0.875 0.917 0.542

---

Arrangement two

Entry from Alexandria via LeMat-Bulk: crystalline TiTlCo2 at its relaxed geometry (GGA-PBE).

Total moment = 1.1 Bohr magnetons per cell

abc: 4.338 4.338 4.338
angles: 60.00 60.00 60.00
Fractional coordinates of all 4 atoms:
Ti 0.000 0.000 0.000
Tl 0.500 0.500 0.500
Co 0.250 0.250 0.250
Co 0.750 0.750 0.750

---

Relative stability in kJ/mol of atoms, measured from the most stable structure: arrangement one 40.5; arrangement two 0.0